# 1
# NiMoSe

A relaxed structure of NiMoSe (PBE, Alexandria via LeMat-Bulk).

- Distance to the lowest polymorph of the same formula: 2 kJ/mol of formula units
- Space-group type: Amm2

Cell: 11.687 3.085 3.085 Å, 59.54 90.00 90.00°
Sites, in units of the cell vectors:
1 Ni 0.155 0.000 0.000
2 Ni 0.845 0.000 0.000
3 Mo 0.000 0.337 0.337
4 Mo 0.500 0.247 0.247
5 Se 0.345 0.577 0.577
6 Se 0.655 0.577 0.577

=====

# 2
# Y4Cd2N

A relaxed structure of Y4Cd2N (PBE, Alexandria via LeMat-Bulk).

- Space-group type: I4/mmm

Cell: 8.272 8.272 8.272 Å, 145.99 145.99 48.87°
Sites, in units of the cell vectors:
1 Y 0.000 0.500 0.500
2 Y 0.165 0.165 0.000
3 Y 0.500 0.000 0.500
4 Y 0.835 0.835 0.000
5 Cd 0.367 0.367 0.000
6 Cd 0.633 0.633 0.000
7 N 0.000 0.000 0.000

=====

# 3
# Rb2CdAg2I6

A relaxed structure of Rb2CdAg2I6 (PBE, Alexandria via LeMat-Bulk).

- Space-group type: C2/m

Cell: 8.814 8.814 8.429 Å, 117.27 117.27 57.40°
Sites, in units of the cell vectors:
1 Rb 0.244 0.244 0.212
2 Rb 0.756 0.756 0.788
3 Cd 0.000 0.000 0.500
4 Ag 0.440 0.440 0.786
5 Ag 0.560 0.560 0.214
6 I 0.185 0.703 0.202
7 I 0.234 0.234 0.638
8 I 0.297 0.815 0.798
9 I 0.703 0.185 0.202
10 I 0.766 0.766 0.362
11 I 0.815 0.297 0.798

=====

# 4
# SrLi2GaAg

A relaxed structure of SrLi2GaAg (PBE, Alexandria via LeMat-Bulk).

- Distance to the lowest polymorph of the same formula: 0 kJ/mol of formula units
- Space-group type: P4/mmm
- Calculated formation energy: -130 meV/atom

Cell: 4.975 4.975 4.989 Å, 90.00 90.00 90.00°
Sites, in units of the cell vectors:
1 Sr 0.000 0.000 0.000
2 Li 0.000 0.500 0.500
3 Li 0.500 0.000 0.500
4 Ga 0.500 0.500 0.500
5 Ag 0.500 0.500 0.000

=====

Number 1: E_tot -6.597 eV/atom. Number 2: E_tot -5.731 eV/atom. Number 3: E_tot -2.367 eV/atom. Number 4: E_tot -2.407 eV/atom.